1.
VASP calculation (PBE-GGA) on a relaxed structure of BeZn2C.

Cell and atoms, written as extended XYZ:
```
8
Lattice="4.8858 0.0000 0.0000 0.0000 4.8858 0.0000 2.4429 2.4429 5.3697" Properties=species:S:1:pos:R:3 pbc="T T T"
Be 2.4429 2.4429 0.0000
Be 2.4429 4.8858 2.6849
Zn 4.1449 1.2215 1.3424
Zn 0.7409 3.6644 1.3424
Zn 3.6644 3.1838 4.0273
Zn 6.1073 6.5878 4.0273
C 0.0000 0.0000 0.0000
C 4.8858 2.4429 2.6849
```

Values from the calculation:
DOS at the Fermi energy	0.4	states/eV/f.u.
ΔH_f (0 K)	1.171	eV per atom
SG	I-42d (122)
raw total energy	-2.70	eV per atom
magnetization	0.000	μB/f.u.


2.
VASP calculation (PBE-GGA) on a relaxed structure of BeZnC2.

Cell and atoms, written as extended XYZ:
```
8
Lattice="3.4776 0.0000 0.0000 0.0000 3.4776 0.0000 1.7388 1.7388 5.9098" Properties=species:S:1:pos:R:3 pbc="T T T"
Be 1.7388 1.7388 0.0000
Be 1.7388 3.4776 2.9549
Zn 0.0000 0.0000 0.0000
Zn 3.4776 1.7388 2.9549
C 2.1988 0.8694 1.4775
C 1.2789 2.6082 1.4775
C 2.6082 3.0177 4.4324
C 4.3470 3.9376 4.4324
```

Values from the calculation:
DOS at the Fermi energy	0.0	states/eV/f.u.
ΔH_f (0 K)	1.064	eV per atom
SG	I-42d (122)
raw total energy	-4.80	eV per atom
magnetization	0.000	μB/f.u.


3.
VASP calculation (PBE-GGA) on a relaxed structure of Be3ZnC.

Cell and atoms, written as extended XYZ:
```
5
Lattice="-3.2618 0.2220 1.5590 -1.5707 -0.2032 -3.2574 -0.1122 -3.6095 0.2792" Properties=species:S:1:pos:R:3 pbc="T T T"
Be -0.7854 -0.1016 -1.6287
Be -0.0561 -1.8048 0.1396
Be -1.6309 0.1110 0.7795
Zn -2.4724 -1.7953 -0.7096
C 0.0000 0.0000 0.0000
```

Values from the calculation:
DOS at the Fermi energy	1.7	states/eV/f.u.
ΔH_f (0 K)	0.352	eV per atom
SG	Pm-3m (221)
raw total energy	-3.98	eV per atom
magnetization	0.000	μB/f.u.


4.
VASP calculation (PBE-GGA) on a relaxed structure of BeZn2C.

Cell and atoms, written as extended XYZ:
```
4
Lattice="0.0000 2.8430 2.8430 2.8430 0.0000 2.8430 2.8430 2.8430 0.0000" Properties=species:S:1:pos:R:3 pbc="T T T"
Be 0.0000 0.0000 0.0000
Zn 1.4215 1.4215 1.4215
Zn 4.2645 4.2645 4.2645
C 2.8430 2.8430 2.8430
```

Values from the calculation:
DOS at the Fermi energy	0.2	states/eV/f.u.
ΔH_f (0 K)	1.206	eV per atom
SG	Fm-3m (225)
raw total energy	-2.67	eV per atom
magnetization	0.000	μB/f.u.


5.
VASP calculation (PBE-GGA) on a relaxed structure of Be3ZnC.

Cell and atoms, written as extended XYZ:
```
5
Lattice="4.0526 0.0000 0.0000 0.0000 4.0526 0.0000 0.0000 0.0000 4.0526" Properties=species:S:1:pos:R:3 pbc="T T T"
Be 0.0000 2.0263 0.0000
Be 0.0000 0.0000 2.0263
Be 2.0263 0.0000 0.0000
Zn 0.0000 0.0000 0.0000
C 2.0263 2.0263 2.0263
```

Values from the calculation:
DOS at the Fermi energy	2.3	states/eV/f.u.
ΔH_f (0 K)	1.955	eV per atom
SG	Pm-3m (221)
raw total energy	-2.38	eV per atom
magnetization	0.000	μB/f.u.


6.
VASP calculation (PBE-GGA) on a relaxed structure of BeZnC2.

Cell and atoms, written as extended XYZ:
```
4
Lattice="1.9500 -2.2475 -2.2055 1.5712 -3.0526 1.3899 -1.3352 -3.3387 -0.8882" Properties=species:S:1:pos:R:3 pbc="T T T"
Be 0.0000 0.0000 0.0000
Zn 1.0930 -4.3194 -0.8520
C 0.5465 -2.1597 -0.4260
C 1.6396 -6.4791 -1.2779
```

Values from the calculation:
DOS at the Fermi energy	1.4	states/eV/f.u.
ΔH_f (0 K)	1.839	eV per atom
SG	Fm-3m (225)
raw total energy	-4.02	eV per atom
magnetization	0.000	μB/f.u.


7.
VASP calculation (PBE-GGA) on a relaxed structure of Zr2BeZnC.

Cell and atoms, written as extended XYZ:
```
5
Lattice="-2.3985 -0.0887 -3.9846 -3.0965 -2.8865 1.9281 -1.8679 2.7145 1.0639" Properties=species:S:1:pos:R:3 pbc="T T T"
Be -0.9339 1.3572 0.5320
Zn -3.6814 -0.1303 -0.4963
C 0.0000 0.0000 0.0000
Zr -1.5482 -1.4432 0.9641
Zr -1.1992 -0.0443 -1.9923
```

Values from the calculation:
DOS at the Fermi energy	1.1	states/eV/f.u.
ΔH_f (0 K)	-0.343	eV per atom
SG	P4/mmm (123)
raw total energy	-6.61	eV per atom
magnetization	0.000	μB/f.u.


8.
VASP calculation (PBE-GGA) on a relaxed structure of Zr2BeZnC.

Cell and atoms, written as extended XYZ:
```
10
Lattice="3.4408 0.0000 0.0000 0.0000 6.1575 0.1730 0.0000 -2.4356 7.0823" Properties=species:S:1:pos:R:3 pbc="T T T"
Zr 2.5806 3.4972 4.4938
Zr 2.5806 4.7801 0.3591
Zr 0.8602 0.2247 2.7615
Zr 0.8602 -1.0582 6.8962
Be 0.8602 1.5420 5.4178
Be 2.5806 2.1799 1.8375
Zn 0.8602 3.5485 2.2557
Zn 2.5806 0.1734 4.9997
C 0.8602 3.1210 6.0061
C 2.5806 0.6008 1.2492
```

Values from the calculation:
DOS at the Fermi energy	2.9	states/eV/f.u.
ΔH_f (0 K)	-0.403	eV per atom
SG	P2_1/m (11)
raw total energy	-6.67	eV per atom
magnetization	0.000	μB/f.u.


9.
VASP calculation (PBE-GGA) on a relaxed structure of ZrBe3C.

Cell and atoms, written as extended XYZ:
```
5
Lattice="-2.6500 1.8099 -1.9497 -2.6565 -1.9463 1.8039 -0.1410 2.6524 2.6540" Properties=species:S:1:pos:R:3 pbc="T T T"
Be -1.3283 -0.9731 0.9020
Be -0.0705 1.3262 1.3270
Be -1.3250 0.9050 -0.9748
C 0.0000 0.0000 0.0000
Zr -2.7238 1.2580 1.2542
```

Values from the calculation:
DOS at the Fermi energy	1.0	states/eV/f.u.
ΔH_f (0 K)	0.435	eV per atom
SG	Pm-3m (221)
raw total energy	-5.36	eV per atom
magnetization	0.000	μB/f.u.


10.
VASP calculation (PBE-GGA) on a relaxed structure of Zr6BeC4.

Cell and atoms, written as extended XYZ:
```
22
Lattice="-1.4366 0.4134 3.0202 5.4943 -1.6841 0.9638 5.0903 16.6854 0.1375" Properties=species:S:1:pos:R:3 pbc="T T T"
Zr -0.7183 0.2067 1.5101
Zr 1.8268 8.5494 1.5789
Zr 2.1359 5.6462 0.2432
Zr 7.0121 9.7685 3.8784
Zr 7.9833 12.9519 3.9047
Zr 1.1647 2.4628 0.2169
Zr 4.0494 6.4194 2.9276
Zr 5.0986 8.9952 1.1940
Zr 6.8395 14.7019 1.2410
Zr 2.3085 0.7128 2.8806
Zr 4.4852 3.1775 1.6985
Zr 4.6627 12.2371 2.4231
Be 2.0760 3.9073 2.3328
Be 7.0720 11.5074 1.7888
C 5.4922 8.1674 3.3746
C 4.5523 0.8633 2.0472
C 3.6558 7.2473 0.7470
C 4.5957 14.5513 2.0744
C 7.6181 15.1361 3.4320
C 1.5299 0.2786 0.6896
C 3.3170 10.3599 2.0399
C 5.8310 5.0547 2.0817
```

Values from the calculation:
DOS at the Fermi energy	4.4	states/eV/f.u.
ΔH_f (0 K)	-0.654	eV per atom
SG	Cmcm (63)
raw total energy	-9.01	eV per atom
magnetization	0.000	μB/f.u.


11.
VASP calculation (PBE-GGA) on a relaxed structure of ZrBe2C.

Cell and atoms, written as extended XYZ:
```
8
Lattice="-3.6673 3.3335 -1.9553 1.3799 -1.3883 -4.9551 -3.6971 -1.7983 -3.3900" Properties=species:S:1:pos:R:3 pbc="T T T"
Be -2.1025 0.6046 -2.1870
Be -1.4616 -0.0449 -4.6907
Be -3.2764 -0.9756 -6.4058
Be -5.1285 0.7097 -7.3171
C -1.1437 0.9726 -3.4552
C -1.7304 -1.1070 -5.9001
Zr 0.0000 0.0000 0.0000
Zr -4.2541 1.2539 -4.4002
```

Values from the calculation:
DOS at the Fermi energy	3.1	states/eV/f.u.
ΔH_f (0 K)	0.583	eV per atom
SG	I-42d (122)
raw total energy	-5.72	eV per atom
magnetization	0.645	μB/f.u.


12.
VASP calculation (PBE-GGA) on a relaxed structure of ZrBeC.

Cell and atoms, written as extended XYZ:
```
6
Lattice="3.8771 0.0000 0.0000 1.9385 3.3576 0.0000 1.9385 1.1192 6.1382" Properties=species:S:1:pos:R:3 pbc="T T T"
Zr 3.8771 2.2384 4.9406
Zr 3.8771 2.2384 1.1976
C 1.9385 1.1192 1.0398
C 5.8156 3.3576 5.0984
Be 1.9385 1.1192 2.7760
Be 5.8156 3.3576 3.3622
```

Values from the calculation:
DOS at the Fermi energy	1.1	states/eV/f.u.
ΔH_f (0 K)	-0.247	eV per atom
SG	R-3m (166)
raw total energy	-7.41	eV per atom
magnetization	0.000	μB/f.u.


13.
VASP calculation (PBE-GGA) on a relaxed structure of ZrBe3C.

Cell and atoms, written as extended XYZ:
```
5
Lattice="4.6826 0.0000 0.0000 0.0000 4.6826 0.0000 0.0000 0.0000 4.6826" Properties=species:S:1:pos:R:3 pbc="T T T"
Be 0.0000 2.3413 0.0000
Be 0.0000 0.0000 2.3413
Be 2.3413 0.0000 0.0000
C 2.3413 2.3413 2.3413
Zr 0.0000 0.0000 0.0000
```

Values from the calculation:
DOS at the Fermi energy	3.9	states/eV/f.u.
ΔH_f (0 K)	3.053	eV per atom
SG	Pm-3m (221)
raw total energy	-2.74	eV per atom
magnetization	0.000	μB/f.u.


14.
VASP calculation (PBE-GGA) on a relaxed structure of Ca3Be.

Cell and atoms, written as extended XYZ:
```
4
Lattice="5.5229 0.0000 0.0000 2.7614 4.7830 0.0000 2.7614 1.5943 4.5094" Properties=species:S:1:pos:R:3 pbc="T T T"
Be 0.0000 0.0000 0.0000
Ca 2.7614 1.5943 1.1274
Ca 5.5229 3.1886 2.2547
Ca 8.2843 4.7830 3.3821
```

Values from the calculation:
DOS at the Fermi energy	5.6	states/eV/f.u.
ΔH_f (0 K)	0.399	eV per atom
SG	Fm-3m (225)
raw total energy	-2.03	eV per atom
magnetization	0.000	μB/f.u.


15.
VASP calculation (PBE-GGA) on a relaxed structure of CaBe.

Cell and atoms, written as extended XYZ:
```
8
Lattice="2.5729 -4.4564 0.0000 2.5729 4.4564 0.0000 0.0000 0.0000 7.5132" Properties=species:S:1:pos:R:3 pbc="T T T"
Ca 0.0000 0.0000 1.8783
Ca 0.0000 0.0000 5.6349
Ca 2.5729 1.4855 5.6349
Ca 2.5729 -1.4855 1.8783
Be 2.5729 1.4855 0.8401
Be 2.5729 -1.4855 4.5967
Be 2.5729 -1.4855 6.6731
Be 2.5729 1.4855 2.9165
```

Values from the calculation:
DOS at the Fermi energy	0.8	states/eV/f.u.
ΔH_f (0 K)	0.600	eV per atom
SG	P6_3/mmc (194)
raw total energy	-2.26	eV per atom
magnetization	0.000	μB/f.u.


16.
VASP calculation (PBE-GGA) on a relaxed structure of Ca2Be17.

Cell and atoms, written as extended XYZ:
```
19
Lattice="-5.5777 1.6418 0.7028 -0.1773 -0.5569 5.8274 1.0666 5.6136 1.2846" Properties=species:S:1:pos:R:3 pbc="T T T"
Ca -1.6074 2.2966 2.6793
Ca -3.0810 4.4019 5.1355
Be -3.6811 1.5828 4.5583
Be -0.2586 3.6287 4.8580
Be -4.2429 6.0620 7.0722
Be -0.4455 0.6365 0.7426
Be 0.5333 2.8068 0.6423
Be -0.0887 -0.2785 2.9137
Be -2.7889 0.8209 0.3514
Be -1.6719 0.0516 4.4092
Be -3.7389 2.7410 0.8638
Be 0.7223 3.9059 2.5418
Be -4.0832 1.0333 2.1210
Be -0.7722 4.5144 1.1236
Be 0.1669 1.1508 4.5702
Be -4.4298 3.0699 2.9568
Be -1.0073 5.1158 3.2565
Be -1.6481 1.9373 5.5965
Be -3.0404 4.7612 2.2183
```

Values from the calculation:
DOS at the Fermi energy	6.3	states/eV/f.u.
ΔH_f (0 K)	0.025	eV per atom
SG	R-3m (166)
raw total energy	-3.52	eV per atom
magnetization	0.000	μB/f.u.


17.
VASP calculation (PBE-GGA) on a relaxed structure of Ca3Be.

Cell and atoms, written as extended XYZ:
```
8
Lattice="-2.5058 2.5058 9.7820 2.5058 -2.5058 9.7820 2.5058 2.5058 -9.7820" Properties=species:S:1:pos:R:3 pbc="T T T"
Ca 2.5058 0.0000 0.0000
Ca 0.0000 2.5058 0.0000
Ca 0.0000 2.5058 4.8910
Ca 2.5058 0.0000 4.8910
Ca 0.0000 0.0000 17.1379
Ca 0.0000 0.0000 2.4262
Be 0.0000 0.0000 12.4242
Be 0.0000 0.0000 7.1399
```

Values from the calculation:
DOS at the Fermi energy	4.8	states/eV/f.u.
ΔH_f (0 K)	0.389	eV per atom
SG	I4/mmm (139)
raw total energy	-2.04	eV per atom
magnetization	0.000	μB/f.u.


18.
VASP calculation (PBE-GGA) on a relaxed structure of CaBe.

Cell and atoms, written as extended XYZ:
```
2
Lattice="3.5144 0.0000 0.0000 0.0000 3.5144 0.0000 0.0000 0.0000 3.5144" Properties=species:S:1:pos:R:3 pbc="T T T"
Ca 1.7572 1.7572 1.7572
Be 0.0000 0.0000 0.0000
```

Values from the calculation:
DOS at the Fermi energy	1.3	states/eV/f.u.
ΔH_f (0 K)	0.414	eV per atom
SG	Pm-3m (221)
raw total energy	-2.45	eV per atom
magnetization	0.000	μB/f.u.


19.
VASP calculation (PBE-GGA) on a relaxed structure of CaBe.

Cell and atoms, written as extended XYZ:
```
12
Lattice="10.0329 0.0000 0.0000 -5.0164 8.6887 0.0000 0.0000 0.0000 3.9543" Properties=species:S:1:pos:R:3 pbc="T T T"
Ca 5.0165 5.1099 0.9886
Ca -1.9170 6.8993 2.9657
Ca 3.0994 1.7894 0.9886
Ca 0.0000 3.5789 2.9657
Ca 6.9335 1.7894 0.9886
Ca 1.9170 6.8993 2.9657
Be 0.0000 8.3711 0.9886
Be 2.7833 4.1855 2.9657
Be -2.2331 4.5032 0.9886
Be 5.0164 0.3177 2.9657
Be 2.2331 4.5032 0.9886
Be 7.2496 4.1855 2.9657
```

Values from the calculation:
DOS at the Fermi energy	1.3	states/eV/f.u.
ΔH_f (0 K)	0.343	eV per atom
SG	P6_3/mmc (194)
raw total energy	-2.52	eV per atom
magnetization	0.000	μB/f.u.


20.
VASP calculation (PBE-GGA) on a relaxed structure of CaBe.

Cell and atoms, written as extended XYZ:
```
2
Lattice="-3.3469 -2.5187 -0.7417 0.3798 -4.2359 -0.0924 -1.6613 -2.4503 3.0548" Properties=species:S:1:pos:R:3 pbc="T T T"
Be 0.0000 0.0000 0.0000
Ca -2.3142 -4.6024 1.1104
```

Values from the calculation:
DOS at the Fermi energy	1.2	states/eV/f.u.
ΔH_f (0 K)	0.711	eV per atom
SG	R-3m (166)
raw total energy	-2.15	eV per atom
magnetization	0.000	μB/f.u.


21.
VASP calculation (PBE-GGA) on a relaxed structure of CaBe.

Cell and atoms, written as extended XYZ:
```
6
Lattice="1.8203 8.2043 0.9348 -1.8203 8.2043 0.9348 0.0000 4.8000 5.1975" Properties=species:S:1:pos:R:3 pbc="T T T"
Ca 0.0000 14.4526 4.9905
Ca 0.0000 17.7084 3.9554
Ca 0.0000 12.7282 2.2420
Be 0.0000 20.2854 6.5689
Be 0.0000 7.1699 1.6319
Be 0.0000 11.2245 4.8602
```

Values from the calculation:
DOS at the Fermi energy	1.1	states/eV/f.u.
ΔH_f (0 K)	0.281	eV per atom
SG	Cm (8)
raw total energy	-2.58	eV per atom
magnetization	0.000	μB/f.u.


22.
VASP calculation (PBE-GGA) on a relaxed structure of CaBe.

Cell and atoms, written as extended XYZ:
```
2
Lattice="-0.3105 0.4106 3.8388 -0.2091 -3.5238 -1.5940 3.8892 -0.3920 0.3565" Properties=species:S:1:pos:R:3 pbc="T T T"
Be 0.0000 0.0000 0.0000
Ca 1.6679 -1.0969 2.2062
```

Values from the calculation:
DOS at the Fermi energy	1.6	states/eV/f.u.
ΔH_f (0 K)	0.695	eV per atom
SG	P-6m2 (187)
raw total energy	-2.17	eV per atom
magnetization	0.000	μB/f.u.


23.
VASP calculation (PBE-GGA) on a relaxed structure of Ca5Be.

Cell and atoms, written as extended XYZ:
```
6
Lattice="-5.4827 3.7294 -1.4647 -5.4539 0.7811 -3.9698 -7.3516 -3.4369 3.9603" Properties=species:S:1:pos:R:3 pbc="T T T"
Ca -12.4674 0.8614 -1.1574
Ca -5.6128 0.8451 -1.0593
Ca -10.4213 -1.0021 1.0593
Ca -3.5725 -1.4013 1.6081
Ca -7.6567 2.7093 -3.2769
Be -7.2452 -3.1232 3.5923
```

Values from the calculation:
DOS at the Fermi energy	7.3	states/eV/f.u.
ΔH_f (0 K)	0.182	eV per atom
SG	Cm (8)
raw total energy	-2.11	eV per atom
magnetization	0.000	μB/f.u.


24.
VASP calculation (PBE-GGA) on a relaxed structure of Ca3Be.

Cell and atoms, written as extended XYZ:
```
8
Lattice="-5.3403 2.9626 -1.5451 -1.9731 -0.4453 5.9659 2.6965 5.5415 1.3055" Properties=species:S:1:pos:R:3 pbc="T T T"
Ca -4.9918 1.9993 1.8241
Ca -2.3216 0.5180 2.5967
Ca -0.1316 2.4367 5.1271
Ca 0.8550 2.6594 2.1442
Ca -1.9960 2.8667 -0.4462
Ca -0.6478 5.6374 0.2065
Be 0.0000 0.0000 0.0000
Be -2.3085 4.0294 2.8631
```

Values from the calculation:
DOS at the Fermi energy	4.5	states/eV/f.u.
ΔH_f (0 K)	0.448	eV per atom
SG	Pm-3n (223)
raw total energy	-1.98	eV per atom
magnetization	0.001	μB/f.u.


25.
VASP calculation (PBE-GGA) on a relaxed structure of Ca5Be4.

Cell and atoms, written as extended XYZ:
```
9
Lattice="-4.7828 4.7828 2.2224 4.7828 -4.7828 2.2224 4.7828 4.7828 -2.2224" Properties=species:S:1:pos:R:3 pbc="T T T"
Ca 0.0000 0.0000 0.0000
Ca 1.6866 -1.6866 2.2224
Ca -1.6866 1.6866 2.2224
Ca 1.6866 1.6866 2.2224
Ca 3.0961 3.0961 0.0000
Be 0.0000 3.6783 0.0000
Be 0.0000 5.8872 0.0000
Be 5.8872 0.0000 0.0000
Be 3.6783 0.0000 0.0000
```

Values from the calculation:
DOS at the Fermi energy	6.0	states/eV/f.u.
ΔH_f (0 K)	0.543	eV per atom
SG	I4/mmm (139)
raw total energy	-2.23	eV per atom
magnetization	0.000	μB/f.u.


26.
VASP calculation (PBE-GGA) on a relaxed structure of CaBe.

Cell and atoms, written as extended XYZ:
```
4
Lattice="-2.9190 -2.2121 0.1414 3.2140 -1.1175 1.3622 -2.1419 3.3237 7.7801" Properties=species:S:1:pos:R:3 pbc="T T T"
Be 0.6342 -0.6514 2.9003
Be -2.4811 0.6455 6.3834
Ca 0.0000 0.0000 0.0000
Ca -1.0710 1.6618 3.8901
```

Values from the calculation:
DOS at the Fermi energy	1.7	states/eV/f.u.
ΔH_f (0 K)	0.752	eV per atom
SG	P6_3/mmc (194)
raw total energy	-2.11	eV per atom
magnetization	0.000	μB/f.u.